PBE BaSi2Se, optimized geometry; DFT total energy = -4.00 eV per atom; space group = No. 119; calculated volume = 99.1 Å³ per cell; polymorph energy (0 for the lowest one) = 50.31 kJ per mole of atoms; formation energy from raw total energies = 0.06 eV per atom
1.0
5.4424 -0.0130 0.0000
1.1528 5.3189 0.0000
-3.2976 -2.6529 3.4216
Ba Se Si
1 1 2
Direct
0.5000 0.5000 0.0000
0.7500 0.2500 0.5000
0.0000 0.0000 0.0000
0.2500 0.7500 0.5000



PBE CaNdNCl, optimized geometry; DFT total energy = -5.72 eV per atom; space group = No. 160; calculated volume = 80.6 Å³ per cell; formation energy from raw total energies = -1.48 eV per atom
1.0
-1.7944 0.4121 3.1694
-0.0526 -3.2315 -1.7289
6.8879 -1.1444 1.9290
Ca Nd N Cl
1 1 1 1
Direct
0.0964 0.9461 0.0578
0.5103 0.1531 0.6786
0.3092 0.5525 0.8770
0.9621 0.3791 0.3562



PBE PaTlTe2, optimized geometry; DFT total energy = -5.17 eV per atom; space group = No. 123; calculated volume = 121.1 Å³ per cell; formation energy from raw total energies = -0.63 eV per atom
1.0
3.8276 0.0000 0.0000
0.0000 3.8276 0.0000
0.0000 0.0000 8.2626
Tl Pa Te
1 1 2
Direct
0.5000 0.5000 0.5000
0.5000 0.5000 0.0000
0.0000 0.0000 0.7892
0.0000 0.0000 0.2108